Entry 1:
This record from the Alexandria database describes LaNi4Sn after structural relaxation. The functional is PBE.

Unit cell a=8.4810 b=8.4810 c=5.9247 alpha=90.00 beta=90.00 gamma=152.54
Sites, in units of the cell vectors:
1 La 0.0950 0.9050 0.7500
2 La 0.9050 0.0950 0.2500
3 Ni 0.0765 0.9235 0.2500
4 Ni 0.3492 0.6508 0.5561
5 Ni 0.3492 0.6508 0.9439
6 Ni 0.5000 0.5000 0.0000
7 Ni 0.5000 0.5000 0.5000
8 Ni 0.6508 0.3492 0.0561
9 Ni 0.6508 0.3492 0.4439
10 Ni 0.9235 0.0765 0.7500
11 Sn 0.2344 0.7656 0.2500
12 Sn 0.7656 0.2344 0.7500

Results
Total moment (Bohr magnetons per cell): 0.0
Energy relative to the lowest polymorph listed for this composition (eV per formula unit): 0.44
Formation energy from the elements (eV per formula unit): -1.29
Total energy (eV for the cell shown): -66.69
Density of states at the Fermi level (states/eV/cell): 9.08

Entry 2:
This record from the Alexandria database describes LaNi3Sn3 after structural relaxation. The functional is PBE.

Unit cell a=6.9228 b=6.9228 c=6.9228 alpha=90.00 beta=90.00 gamma=90.00
Sites, in units of the cell vectors:
1 La 0.0000 0.0000 0.0000
2 La 0.5000 0.5000 0.5000
3 Ni 0.0000 0.2500 0.5000
4 Ni 0.0000 0.7500 0.5000
5 Ni 0.2500 0.5000 0.0000
6 Ni 0.5000 0.0000 0.2500
7 Ni 0.5000 0.0000 0.7500
8 Ni 0.7500 0.5000 0.0000
9 Sn 0.0000 0.5000 0.2500
10 Sn 0.0000 0.5000 0.7500
11 Sn 0.2500 0.0000 0.5000
12 Sn 0.5000 0.2500 0.0000
13 Sn 0.5000 0.7500 0.0000
14 Sn 0.7500 0.0000 0.5000

Results
Total moment (Bohr magnetons per cell): 0.0
Energy relative to the lowest polymorph listed for this composition (eV per formula unit): 1.39
Formation energy from the elements (eV per formula unit): -0.49
Total energy (eV for the cell shown): -69.55
Density of states at the Fermi level (states/eV/cell): 11.63

Number 1: ρ 8.32 g cm⁻³. Number 2: ρ 6.72 g cm⁻³.